Record 1
This record from Alexandria describes crystalline YReIr at its relaxed geometry. The functional is PBE.

a = 2.9130 Å, b = 2.9130 Å, c = 7.3283 Å
α = 90.00°, β = 90.00°, γ = 120.00°
Closest atoms and distances in Å follow each position.
Element x y z (fractional)
Ir (0.0000, 0.0000, 0.0240)  3 Re 2.66, 6 Ir 2.91
Re (0.3333, 0.6667, 0.3055)  3 Ir 2.66, 6 Re 2.91
Y (0.6667, 0.3333, 0.6705)  6 Y 2.91, 3 Ir 3.09, 3 Re 3.16

* energy of formation from the pure elements: 9.17 kcal/mol of atoms
* DOS(E_F): 3.99 states/eV/f.u.

***

Record 2
This record from Alexandria describes crystalline YZr2ReIr at its relaxed geometry. The functional is PBE.

a = 5.0130 Å, b = 4.9121 Å, c = 5.0130 Å
α = 90.00°, β = 90.00°, γ = 90.00°
Closest atoms and distances in Å follow each position.
Element x y z (fractional)
Y (0.5000, 0.5000, 0.5000)  8 Zr 3.51, 4 Ir 3.54
Re (0.0000, 0.0000, 0.0000)  2 Ir 2.46, 4 Zr 2.51
Ir (0.0000, 0.5000, 0.0000)  2 Re 2.46
Zr (0.0000, 0.0000, 0.5000)  2 Re 2.51
Zr (0.5000, 0.0000, 0.0000)  2 Re 2.51

* energy of formation from the pure elements: 9.22 kcal/mol of atoms
* DOS(E_F): 5.26 states/eV/f.u.

***

Record 3
This record from Alexandria describes crystalline ZnReIr2 at its relaxed geometry. The functional is PBE.

a = 2.7779 Å, b = 3.9648 Å, c = 5.3042 Å
α = 90.00°, β = 90.00°, γ = 90.00°
Closest atoms and distances in Å follow each position.
Element x y z (fractional)
Ir (0.0000, 0.0000, 0.9731)  2 Re 2.59-2.71, 4 Zn 2.65, 6 Ir 2.78-2.90
Ir (0.5000, 0.5000, 0.2746)  2 Zn 2.61-2.69, 4 Re 2.66, 6 Ir 2.78-2.90
Re (0.0000, 0.0000, 0.4847)  6 Ir 2.59-2.71, 2 Re 2.78, 4 Zn 2.85
Zn (0.5000, 0.5000, 0.7676)  6 Ir 2.61-2.69, 2 Zn 2.78, 4 Re 2.85

* energy of formation from the pure elements: 0.16 kcal/mol of atoms
* DOS(E_F): 3.12 states/eV/f.u.

***

Record 4
This record from Alexandria describes crystalline ZnReIr2 at its relaxed geometry. The functional is PBE.

a = 5.2228 Å, b = 5.2228 Å, c = 5.2228 Å
α = 148.14°, β = 128.95°, γ = 61.45°
Closest atoms and distances in Å follow each position.
Element x y z (fractional)
Ir (0.0192, 0.0192, 0.0000)  2 Zn 2.52, 4 Re 2.68
Ir (0.7434, 0.2434, 0.5000)  4 Zn 2.67, 2 Re 2.71, 4 Ir 2.86-2.87
Re (0.4879, 0.4879, 0.0000)  2 Zn 2.58, 6 Ir 2.68-2.71, 2 Re 2.87
Zn (0.2494, 0.7494, 0.5000)  6 Ir 2.52-2.67, 2 Re 2.58

* energy of formation from the pure elements: 3.05 kcal/mol of atoms
* DOS(E_F): 2.46 states/eV/f.u.

***

Record 5
This record from Alexandria describes crystalline ZnReIr2 at its relaxed geometry. The functional is PBE.

a = 2.7234 Å, b = 2.7234 Å, c = 9.1618 Å
α = 90.00°, β = 90.00°, γ = 118.79°
Closest atoms and distances in Å follow each position.
Element x y z (fractional)
Ir (0.0000, 0.0000, 0.9928)  2 Zn 2.59, 8 Ir 2.72-2.77
Ir (0.5000, 0.5000, 0.2538)  2 Re 2.64, 8 Ir 2.72-2.77
Re (0.0000, 0.0000, 0.4996)  2 Ir 2.64, 2 Zn 2.71, 6 Re 2.72-2.77
Zn (0.5000, 0.5000, 0.7538)  2 Ir 2.59, 2 Re 2.71, 6 Zn 2.72-2.77

* energy of formation from the pure elements: 5.27 kcal/mol of atoms
* DOS(E_F): 4.84 states/eV/f.u.

***

Record 6
This record from Alexandria describes crystalline Zn2ReIr at its relaxed geometry. The functional is PBE.

a = 9.1173 Å, b = 9.1173 Å, c = 9.1173 Å
α = 17.50°, β = 17.50°, γ = 17.50°
Closest atoms and distances in Å follow each position.
Element x y z (fractional)
Ir (0.4977, 0.4977, 0.4977)  3 Re 2.64, 3 Zn 2.74, 6 Ir 2.77
Re (0.7532, 0.7532, 0.7532)  3 Ir 2.64, 6 Re 2.77, 3 Zn 2.78
Zn (0.0024, 0.0024, 0.0024)  9 Zn 2.77-2.88, 3 Re 2.78
Zn (0.2467, 0.2467, 0.2467)  3 Ir 2.74, 9 Zn 2.77-2.88

* energy of formation from the pure elements: 0.15 kcal/mol of atoms
* DOS(E_F): 2.78 states/eV/f.u.

***

Record 7
This record from Alexandria describes crystalline Zn4ReIr at its relaxed geometry. The functional is PBE.

a = 4.8920 Å, b = 4.8920 Å, c = 4.8920 Å
α = 60.00°, β = 60.00°, γ = 60.00°
Closest atoms and distances in Å follow each position.
Element x y z (fractional)
Zn (0.8761, 0.3746, 0.3746)  6 Zn 2.44-2.45
Zn (0.3746, 0.3746, 0.8761)  6 Zn 2.44-2.45
Zn (0.3746, 0.8761, 0.3746)  6 Zn 2.44-2.45
Zn (0.3746, 0.3746, 0.3746)  6 Zn 2.44-2.45
Re (0.0000, 0.0000, 0.0000)  12 Zn 2.87, 4 Ir 3.00
Ir (0.7500, 0.7500, 0.7500)  12 Zn 2.87, 4 Re 3.00

* energy of formation from the pure elements: 5.72 kcal/mol of atoms
* DOS(E_F): 4.79 states/eV/f.u.

***

Record 8
This record from Alexandria describes crystalline Zn2ReIr at its relaxed geometry. The functional is PBE.

a = 4.3240 Å, b = 4.3240 Å, c = 4.3240 Å
α = 60.00°, β = 60.00°, γ = 60.00°
Closest atoms and distances in Å follow each position.
Element x y z (fractional)
Re (0.0000, 0.0000, 0.0000)  8 Zn 2.65
Zn (0.2500, 0.2500, 0.2500)  4 Re 2.65, 4 Ir 2.65
Zn (0.7500, 0.7500, 0.7500)  4 Ir 2.65, 4 Re 2.65
Ir (0.5000, 0.5000, 0.5000)  8 Zn 2.65

* energy of formation from the pure elements: 7.25 kcal/mol of atoms
* DOS(E_F): 1.86 states/eV/f.u.

***

- The lowest energy of formation from the pure elements belongs to which entry?
  number 6

***

- Which value of DOS(E_F) does entry 1 give?
  3.99 states/eV/f.u.